{
  "formula": "SrRh2Pb",
  "functional": "PBE-GGA",
  "state": "relaxed",
  "total_energy_ev_per_atom": -4.85,
  "vol_a3_per_atom": 23.8,
  "space_group": "I-42d",
  "cell": [[-3.824, 3.824, 3.256], [3.824, -3.824, 3.256], [3.824, 3.824, -3.256]],
  "species": ["Sr", "Sr", "Rh", "Rh", "Rh", "Rh", "Pb", "Pb"],
  "fractional_positions": [[0.000, 0.000, 0.000], [0.750, 0.250, 0.500], [0.164, 0.625, 0.039], [0.375, 0.414, 0.539], [0.586, 0.125, 0.961], [0.875, 0.836, 0.461], [0.250, 0.750, 0.500], [0.500, 0.500, 0.000]]
}